(1)
First-principles (PBE) data for crystalline NaCuReSeS2 at its relaxed geometry, as listed in the Open Quantum Materials Database.

Results
- size of the total moment (μB per atom) = 0.3007
- symmetry = Cmcm, No. 63
- final energy (eV/atom) = -5.186

a = 6.9857 Å, b = 6.9857 Å, c = 9.4591 Å
α = 90.00°, β = 90.00°, γ = 150.50°
Closest atoms and distances in Å follow each position.
Fractional positions:
1 Na 0.2314 0.7686 0.7500  4 S 3.02, 2 Se 3.03, 2 Cu 3.18
2 Na 0.7686 0.2314 0.2500  4 S 3.02, 2 Se 3.03, 2 Cu 3.18
3 Cu 0.4638 0.5362 0.2500  2 S 2.23, 2 Se 2.44
4 Cu 0.5362 0.4638 0.7500  2 S 2.23, 2 Se 2.44
5 Re 0.0000 0.0000 0.0000  4 S 2.45, 2 Se 2.64
6 Re 0.0000 0.0000 0.5000  4 S 2.45, 2 Se 2.64
7 Se 0.0874 0.9126 0.2500  2 Cu 2.44, 2 Re 2.64
8 Se 0.9126 0.0874 0.7500  2 Cu 2.44, 2 Re 2.64
9 S 0.3798 0.6202 0.0469  1 Cu 2.23, 2 Re 2.45
10 S 0.3798 0.6202 0.4531  1 Cu 2.23, 2 Re 2.45
11 S 0.6202 0.3798 0.5469  1 Cu 2.23, 2 Re 2.45
12 S 0.6202 0.3798 0.9531  1 Cu 2.23, 2 Re 2.45

(2)
First-principles (PBE) data for crystalline NaCuReTe2S at its relaxed geometry, as listed in the Open Quantum Materials Database.

Results
- size of the total moment (μB per atom) = 0.2664
- symmetry = Cmcm, No. 63
- final energy (eV/atom) = -4.717

a = 7.5288 Å, b = 7.5288 Å, c = 9.5194 Å
α = 90.00°, β = 90.00°, γ = 151.29°
Closest atoms and distances in Å follow each position.
Fractional positions:
1 Na 0.2402 0.7598 0.7500  6 Te 3.15-3.28, 2 S 3.18
2 Na 0.7598 0.2402 0.2500  6 Te 3.15-3.28, 2 S 3.18
3 Cu 0.0238 0.9762 0.2500  2 S 2.27
4 Cu 0.9762 0.0238 0.7500  2 S 2.27
5 Re 0.5000 0.5000 0.0000  2 S 2.56, 4 Te 2.75
6 Re 0.5000 0.5000 0.5000  2 S 2.56, 4 Te 2.75
7 Te 0.1360 0.8640 0.0395  1 Cu 2.59, 2 Re 2.75
8 Te 0.1360 0.8640 0.4605  1 Cu 2.59, 2 Re 2.75
9 Te 0.8640 0.1360 0.5395  1 Cu 2.59, 2 Re 2.75
10 Te 0.8640 0.1360 0.9605  1 Cu 2.59, 2 Re 2.75
11 S 0.4359 0.5641 0.2500  2 Cu 2.27
12 S 0.5641 0.4359 0.7500  2 Cu 2.27

(3)
First-principles (PBE) data for crystalline NaCuReTeSe2 at its relaxed geometry, as listed in the Open Quantum Materials Database.

Results
- size of the total moment (μB per atom) = 0.2576
- symmetry = Cmcm, No. 63
- final energy (eV/atom) = -4.770

a = 7.3527 Å, b = 7.3527 Å, c = 9.9544 Å
α = 90.00°, β = 90.00°, γ = 150.77°
Closest atoms and distances in Å follow each position.
Fractional positions:
1 Na 0.2176 0.7824 0.7500  4 Se 3.07, 2 Cu 3.19, 2 Te 3.28
2 Na 0.7824 0.2176 0.2500  4 Se 3.07, 2 Cu 3.19, 2 Te 3.28
3 Cu 0.4647 0.5353 0.2500  2 Se 2.37, 2 Te 2.60
4 Cu 0.5353 0.4647 0.7500  2 Se 2.37, 2 Te 2.60
5 Re 0.0000 0.0000 0.0000  4 Se 2.57, 2 Te 2.81
6 Re 0.0000 0.0000 0.5000  4 Se 2.57, 2 Te 2.81
7 Te 0.0924 0.9076 0.2500  2 Cu 2.60, 2 Re 2.81
8 Te 0.9076 0.0924 0.7500  2 Cu 2.60, 2 Re 2.81
9 Se 0.3788 0.6212 0.0462  1 Cu 2.37, 2 Re 2.57
10 Se 0.3788 0.6212 0.4538  1 Cu 2.37, 2 Re 2.57
11 Se 0.6212 0.3788 0.5462  1 Cu 2.37, 2 Re 2.57
12 Se 0.6212 0.3788 0.9538  1 Cu 2.37, 2 Re 2.57

(4)
First-principles (PBE) data for crystalline NaCuReTe3 at its relaxed geometry, as listed in the Open Quantum Materials Database.

Results
- size of the total moment (μB per atom) = 0.2407
- symmetry = Cmcm, No. 63
- final energy (eV/atom) = -4.494

a = 7.4746 Å, b = 7.4746 Å, c = 10.3223 Å
α = 90.00°, β = 90.00°, γ = 149.86°
Closest atoms and distances in Å follow each position.
Fractional positions:
1 Na 0.2360 0.7640 0.7500  8 Te 3.29-3.54, 2 Cu 3.41
2 Na 0.7640 0.2360 0.2500  8 Te 3.29-3.54, 2 Cu 3.41
3 Cu 0.4584 0.5416 0.2500  4 Te 2.54-2.60
4 Cu 0.5416 0.4584 0.7500  4 Te 2.54-2.60
5 Re 0.0000 0.0000 0.0000  6 Te 2.75-2.82
6 Re 0.0000 0.0000 0.5000  6 Te 2.75-2.82
7 Te 0.0785 0.9215 0.2500  2 Cu 2.60, 2 Re 2.82
8 Te 0.3685 0.6315 0.0381  1 Cu 2.54, 2 Re 2.75
9 Te 0.3685 0.6315 0.4619  1 Cu 2.54, 2 Re 2.75
10 Te 0.6315 0.3685 0.5381  1 Cu 2.54, 2 Re 2.75
11 Te 0.6315 0.3685 0.9619  1 Cu 2.54, 2 Re 2.75
12 Te 0.9215 0.0785 0.7500  2 Cu 2.60, 2 Re 2.82